(1)
# SrReGe3 meta-GGA SCAN PBEsol geometry
# * energy: -150.7 eV for the cell shown
# * formation enthalpy at 0 K: -0.01 eV per atom
# * excess energy over the best structure of this formula in the dataset: 0.000 eV per atom
# * volume: 22.8 Å³/atom
# * crystal system: cubic
# * magnetization: 0.000 μB/atom
data_SrReGe3
_chemical_formula_sum 'Sr1 Re1 Ge3'
_cell_length_a 4.850
_cell_length_b 4.850
_cell_length_c 4.850
_cell_angle_alpha 90.00
_cell_angle_beta 90.00
_cell_angle_gamma 90.00
_symmetry_space_group_name_H-M 'P 1'
_symmetry_Int_Tables_number 1
_symmetry_space_group_name_Hall 'P 1'
loop_
_atom_site_label
_atom_site_type_symbol
_atom_site_fract_x
_atom_site_fract_y
_atom_site_fract_z
Sr1 Sr 0.000 0.000 0.000
Re1 Re 0.500 0.500 0.500
Ge1 Ge 0.000 0.500 0.500
Ge2 Ge 0.500 0.000 0.500
Ge3 Ge 0.500 0.500 0.000



(2)
# ScGeN2F meta-GGA SCAN PBEsol geometry
# * energy: -57.5 eV for the cell shown
# * excess energy over the best structure of this formula in the dataset: 0.386 eV per atom
# * volume: 13.6 Å³/atom
# * crystal system: tetragonal
# * magnetization: 0.399 μB/atom
# * energy relative to the elements, uncorrected: -0.413 eV per atom
data_ScGeN2F
_chemical_formula_sum 'Sc1 Ge1 N2 F1'
_cell_length_a 4.151
_cell_length_b 4.151
_cell_length_c 3.933
_cell_angle_alpha 90.00
_cell_angle_beta 90.00
_cell_angle_gamma 90.00
_symmetry_space_group_name_H-M 'P 1'
_symmetry_Int_Tables_number 1
_symmetry_space_group_name_Hall 'P 1'
loop_
_atom_site_label
_atom_site_type_symbol
_atom_site_fract_x
_atom_site_fract_y
_atom_site_fract_z
Sc1 Sc 0.000 0.000 0.000
Ge1 Ge 0.500 0.500 0.500
N1 N 0.000 0.500 0.000
N2 N 0.500 0.000 0.000
F1 F 0.000 0.000 0.500



(3)
# Ba2CaMg meta-GGA SCAN PBEsol geometry
# * energy: -93.6 eV for the cell shown
# * formation enthalpy at 0 K: 0.03 eV per atom
# * volume: 40.8 Å³/atom
# * crystal system: cubic
# * magnetization: 0.000 μB/atom
data_Ba2CaMg
_chemical_formula_sum 'Ba2 Ca1 Mg1'
_cell_length_a 6.135
_cell_length_b 6.135
_cell_length_c 6.135
_cell_angle_alpha 60.00
_cell_angle_beta 60.00
_cell_angle_gamma 60.00
_symmetry_space_group_name_H-M 'P 1'
_symmetry_Int_Tables_number 1
_symmetry_space_group_name_Hall 'P 1'
loop_
_atom_site_label
_atom_site_type_symbol
_atom_site_fract_x
_atom_site_fract_y
_atom_site_fract_z
Ba1 Ba 0.000 0.000 0.000
Ba2 Ba 0.250 0.250 0.250
Ca1 Ca 0.750 0.750 0.750
Mg1 Mg 0.500 0.500 0.500



(4)
# NbTl2S2 meta-GGA SCAN PBEsol geometry
# * energy: -194.4 eV for the cell shown
# * volume: 21.0 Å³/atom
# * crystal system: tetragonal
# * magnetization: 0.000 μB/atom
# * energy relative to the elements, uncorrected: 0.536 eV per atom
data_NbTl2S2
_chemical_formula_sum 'Nb1 Tl2 S2'
_cell_length_a 9.790
_cell_length_b 9.790
_cell_length_c 9.790
_cell_angle_alpha 160.44
_cell_angle_beta 160.44
_cell_angle_gamma 27.80
_symmetry_space_group_name_H-M 'P 1'
_symmetry_Int_Tables_number 1
_symmetry_space_group_name_Hall 'P 1'
loop_
_atom_site_label
_atom_site_type_symbol
_atom_site_fract_x
_atom_site_fract_y
_atom_site_fract_z
Nb1 Nb 0.000 0.000 0.000
Tl1 Tl 0.403 0.403 0.000
Tl2 Tl 0.597 0.597 0.000
S1 S 0.250 0.750 0.500
S2 S 0.750 0.250 0.500



(5)
# LiZr2Al meta-GGA SCAN PBEsol geometry
# * energy: -72.0 eV for the cell shown
# * formation enthalpy at 0 K: -0.11 eV per atom
# * volume: 18.6 Å³/atom
# * crystal system: monoclinic
# * magnetization: 0.000 μB/atom
data_LiZr2Al
_chemical_formula_sum 'Li1 Zr2 Al1'
_cell_length_a 5.552
_cell_length_b 5.552
_cell_length_c 4.905
_cell_angle_alpha 114.89
_cell_angle_beta 114.89
_cell_angle_gamma 33.16
_symmetry_space_group_name_H-M 'P 1'
_symmetry_Int_Tables_number 1
_symmetry_space_group_name_Hall 'P 1'
loop_
_atom_site_label
_atom_site_type_symbol
_atom_site_fract_x
_atom_site_fract_y
_atom_site_fract_z
Li1 Li 0.000 0.000 0.000
Zr1 Zr 0.240 0.240 0.718
Zr2 Zr 0.473 0.473 0.473
Al1 Al 0.710 0.710 0.189



(6)
# TaFeSi meta-GGA SCAN PBEsol geometry
# * energy: -192.4 eV for the cell shown
# * volume: 13.1 Å³/atom
# * crystal system: orthorhombic
# * magnetization: 0.357 μB/atom
# * energy relative to the elements, uncorrected: -0.496 eV per atom
data_TaFeSi
_chemical_formula_sum 'Ta2 Fe2 Si2'
_cell_length_a 4.865
_cell_length_b 4.865
_cell_length_c 4.891
_cell_angle_alpha 90.00
_cell_angle_beta 90.00
_cell_angle_gamma 137.32
_symmetry_space_group_name_H-M 'P 1'
_symmetry_Int_Tables_number 1
_symmetry_space_group_name_Hall 'P 1'
loop_
_atom_site_label
_atom_site_type_symbol
_atom_site_fract_x
_atom_site_fract_y
_atom_site_fract_z
Ta1 Ta 0.210 0.790 0.750
Ta2 Ta 0.790 0.210 0.250
Fe1 Fe 0.500 0.500 0.000
Fe2 Fe 0.500 0.500 0.500
Si1 Si 0.083 0.917 0.250
Si2 Si 0.917 0.083 0.750



(7)
# Sc2InTc meta-GGA SCAN PBEsol geometry
# * energy: -98.9 eV for the cell shown
# * formation enthalpy at 0 K: -0.51 eV per atom
# * volume: 19.0 Å³/atom
# * crystal system: tetragonal
# * magnetization: 0.000 μB/atom
data_Sc2InTc
_chemical_formula_sum 'Sc2 In1 Tc1'
_cell_length_a 3.344
_cell_length_b 3.344
_cell_length_c 6.784
_cell_angle_alpha 90.00
_cell_angle_beta 90.00
_cell_angle_gamma 90.00
_symmetry_space_group_name_H-M 'P 1'
_symmetry_Int_Tables_number 1
_symmetry_space_group_name_Hall 'P 1'
loop_
_atom_site_label
_atom_site_type_symbol
_atom_site_fract_x
_atom_site_fract_y
_atom_site_fract_z
Sc1 Sc 0.000 0.000 0.215
Sc2 Sc 0.000 0.000 0.785
In1 In 0.500 0.500 0.500
Tc1 Tc 0.500 0.500 0.000



(8)
# Cr2CoNi meta-GGA SCAN PBEsol geometry
# * energy: -69.5 eV for the cell shown
# * formation enthalpy at 0 K: 0.19 eV per atom
# * excess energy over the best structure of this formula in the dataset: 0.078 eV per atom
# * volume: 10.6 Å³/atom
# * crystal system: monoclinic
# * magnetization: 0.000 μB/atom
data_Cr2CoNi
_chemical_formula_sum 'Cr2 Co1 Ni1'
_cell_length_a 4.219
_cell_length_b 4.219
_cell_length_c 4.373
_cell_angle_alpha 98.27
_cell_angle_beta 98.27
_cell_angle_gamma 33.38
_symmetry_space_group_name_H-M 'P 1'
_symmetry_Int_Tables_number 1
_symmetry_space_group_name_Hall 'P 1'
loop_
_atom_site_label
_atom_site_type_symbol
_atom_site_fract_x
_atom_site_fract_y
_atom_site_fract_z
Cr1 Cr 0.000 0.000 0.000
Cr2 Cr 0.245 0.245 0.709
Co1 Co 0.499 0.499 0.491
Ni1 Ni 0.750 0.750 0.222



(9)
# Er10NiSb5 meta-GGA SCAN PBEsol geometry
# * energy: -1439.8 eV for the cell shown
# * volume: 25.4 Å³/atom
# * crystal system: orthorhombic
# * magnetization: 0.000 μB/atom
# * energy relative to the elements, uncorrected: -0.877 eV per atom
data_Er10NiSb5
_chemical_formula_sum 'Er20 Ni2 Sb10'
_cell_length_a 9.023
_cell_length_b 7.741
_cell_length_c 11.645
_cell_angle_alpha 90.00
_cell_angle_beta 90.00
_cell_angle_gamma 90.00
_symmetry_space_group_name_H-M 'P 1'
_symmetry_Int_Tables_number 1
_symmetry_space_group_name_Hall 'P 1'
loop_
_atom_site_label
_atom_site_type_symbol
_atom_site_fract_x
_atom_site_fract_y
_atom_site_fract_z
Er1 Er 0.000 0.077 0.000
Er2 Er 0.000 0.234 0.279
Er3 Er 0.000 0.407 0.558
Er4 Er 0.000 0.593 0.058
Er5 Er 0.000 0.766 0.779
Er6 Er 0.000 0.923 0.500
Er7 Er 0.222 0.432 0.840
Er8 Er 0.222 0.568 0.340
Er9 Er 0.315 0.064 0.710
Er10 Er 0.315 0.936 0.210
Er11 Er 0.500 0.119 0.972
Er12 Er 0.500 0.298 0.275
Er13 Er 0.500 0.408 0.568
Er14 Er 0.500 0.592 0.068
Er15 Er 0.500 0.702 0.775
Er16 Er 0.500 0.881 0.472
Er17 Er 0.685 0.064 0.710
Er18 Er 0.685 0.936 0.210
Er19 Er 0.778 0.432 0.840
Er20 Er 0.778 0.568 0.340
Ni1 Ni 0.500 0.330 0.789
Ni2 Ni 0.500 0.670 0.289
Sb1 Sb 0.000 0.158 0.748
Sb2 Sb 0.000 0.842 0.248
Sb3 Sb 0.242 0.317 0.102
Sb4 Sb 0.242 0.683 0.602
Sb5 Sb 0.258 0.181 0.448
Sb6 Sb 0.258 0.819 0.948
Sb7 Sb 0.742 0.181 0.448
Sb8 Sb 0.742 0.819 0.948
Sb9 Sb 0.758 0.317 0.102
Sb10 Sb 0.758 0.683 0.602



(10)
# Cr2OsRu meta-GGA SCAN PBEsol geometry
# * energy: -143.0 eV for the cell shown
# * formation enthalpy at 0 K: 0.12 eV per atom
# * excess energy over the best structure of this formula in the dataset: 0.000 eV per atom
# * volume: 12.6 Å³/atom
# * crystal system: orthorhombic
# * magnetization: 0.000 μB/atom
data_Cr2OsRu
_chemical_formula_sum 'Cr2 Os1 Ru1'
_cell_length_a 4.481
_cell_length_b 4.481
_cell_length_c 2.634
_cell_angle_alpha 90.00
_cell_angle_beta 90.00
_cell_angle_gamma 107.76
_symmetry_space_group_name_H-M 'P 1'
_symmetry_Int_Tables_number 1
_symmetry_space_group_name_Hall 'P 1'
loop_
_atom_site_label
_atom_site_type_symbol
_atom_site_fract_x
_atom_site_fract_y
_atom_site_fract_z
Cr1 Cr 0.000 0.500 0.000
Cr2 Cr 0.500 0.000 0.000
Os1 Os 0.000 0.000 0.500
Ru1 Ru 0.500 0.500 0.500



(11)
# Cd2AgSe meta-GGA SCAN PBEsol geometry
# * energy: -112.0 eV for the cell shown
# * volume: 19.9 Å³/atom
# * crystal system: tetragonal
# * magnetization: 0.000 μB/atom
# * energy relative to the elements, uncorrected: 0.071 eV per atom
data_Cd2AgSe
_chemical_formula_sum 'Cd2 Ag1 Se1'
_cell_length_a 3.067
_cell_length_b 3.067
_cell_length_c 8.451
_cell_angle_alpha 90.00
_cell_angle_beta 90.00
_cell_angle_gamma 90.00
_symmetry_space_group_name_H-M 'P 1'
_symmetry_Int_Tables_number 1
_symmetry_space_group_name_Hall 'P 1'
loop_
_atom_site_label
_atom_site_type_symbol
_atom_site_fract_x
_atom_site_fract_y
_atom_site_fract_z
Cd1 Cd 0.000 0.000 0.234
Cd2 Cd 0.000 0.000 0.766
Ag1 Ag 0.500 0.500 0.000
Se1 Se 0.500 0.500 0.500



(12)
# MgScAs2 meta-GGA SCAN PBEsol geometry
# * energy: -63.2 eV for the cell shown
# * formation enthalpy at 0 K: -0.89 eV per atom
# * volume: 20.3 Å³/atom
# * crystal system: tetragonal
# * magnetization: 0.000 μB/atom
data_MgScAs2
_chemical_formula_sum 'Mg1 Sc1 As2'
_cell_length_a 3.851
_cell_length_b 3.851
_cell_length_c 5.480
_cell_angle_alpha 90.00
_cell_angle_beta 90.00
_cell_angle_gamma 90.00
_symmetry_space_group_name_H-M 'P 1'
_symmetry_Int_Tables_number 1
_symmetry_space_group_name_Hall 'P 1'
loop_
_atom_site_label
_atom_site_type_symbol
_atom_site_fract_x
_atom_site_fract_y
_atom_site_fract_z
Mg1 Mg 0.000 0.000 0.000
Sc1 Sc 0.500 0.500 0.500
As1 As 0.000 0.000 0.500
As2 As 0.500 0.500 0.000



Question: What is the energy in the second record?
Answer: -57.5 eV for the cell shown



Question: What is the formula in the fourth record?
Answer: NbTl2S2